Here is an optimized crystal structure of CaPdF3 from Alexandria. Energies are from PBE-GGA.

Summary:
Uncorrected formation energy in eV per atom: -2.178
Magnetic moment in μB/f.u.: 1.0
Calculated density in g cm⁻³: 3.93
N(E_F) in states/eV per cell: 19.45
Energy relative to the lowest polymorph listed for this composition in eV per formula unit: 0.000
DFT total energy in eV per formula unit: -23.7

```
CaPdF3
1.0
4.4121 0.0000 0.0000
0.0000 4.4121 0.0000
0.0000 0.0000 4.4121
Ca Pd F
1 1 3
Cartesian
0.0000 0.0000 0.0000
2.2061 2.2061 2.2061
0.0000 0.0000 2.2061
0.0000 2.2061 0.0000
2.2061 0.0000 0.0000
```